Entry 1:
Below is a relaxed structure of ThSbIr4, with properties calculated at the PBE level.

density	16.700	g/cm³
SG	No. 216
formation energy (no corrections)	-0.360	eV per atom
final energy	-49.1	eV/cell

a b c (Å): 5.405 5.405 5.405
angles (deg): 60.00 60.00 60.00
Fractional coordinates of all 6 atoms:
Th 0.000 0.000 0.000
Sb 0.750 0.750 0.750
Ir 0.376 0.376 0.376
Ir 0.376 0.376 0.873
Ir 0.376 0.873 0.376
Ir 0.873 0.376 0.376

Entry 2:
Below is a relaxed structure of Ti2SbIr2, with properties calculated at the PBE level.

density	10.536	g/cm³
SG	No. 139
formation energy (no corrections)	-0.488	eV per atom
final energy	-40.1	eV/cell
distance to the lowest polymorph of the same formula	148	meV per atom

a b c (Å): 6.157 6.157 6.157
angles (deg): 140.18 140.18 57.58
Fractional coordinates of all 5 atoms:
Ti 0.250 0.750 0.500
Ti 0.750 0.250 0.500
Sb 0.000 0.000 0.000
Ir 0.379 0.379 0.000
Ir 0.621 0.621 0.000

Entry 3:
Below is a relaxed structure of Ti2SbIr2, with properties calculated at the PBE level.

density	11.767	g/cm³
SG	No. 127
formation energy (no corrections)	-0.636	eV per atom
final energy	-81.6	eV/cell
distance to the lowest polymorph of the same formula	0	meV per atom

a b c (Å): 7.562 7.562 2.970
angles (deg): 90.00 90.00 90.00
Fractional coordinates of all 10 atoms:
Ti 0.157 0.343 0.000
Ti 0.343 0.843 0.000
Ti 0.657 0.157 0.000
Ti 0.843 0.657 0.000
Sb 0.000 0.000 0.500
Sb 0.500 0.500 0.500
Ir 0.134 0.634 0.500
Ir 0.366 0.134 0.500
Ir 0.634 0.866 0.500
Ir 0.866 0.366 0.500